1.
Compound: CaAlCr2
Source: Alexandria
Functional: PBE-GGA
Structure: relaxed

mass density	4.51	Mg/m³
SG	No. 65
energy of formation	639	meV/atom

Cell: 2.6456 2.6456 8.9955 Å, 90.00 90.00 89.69°
Sites, in units of the cell vectors:
Cr: 0.0000 0.0000 0.0372
Cr: 0.0000 0.0000 0.4628
Ca: 0.5000 0.5000 0.7500
Al: 0.5000 0.5000 0.2500

***

2.
Compound: CaHfAlCr2
Source: Alexandria
Functional: PBE-GGA
Structure: relaxed

mass density	5.65	Mg/m³
SG	No. 123
energy of formation	1376	meV/atom

Cell: 4.5413 4.9774 4.5413 Å, 90.00 90.00 90.00°
Sites, in units of the cell vectors:
Cr: 0.0000 0.0000 0.5000
Cr: 0.5000 0.0000 0.0000
Hf: 0.5000 0.5000 0.5000
Al: 0.0000 0.0000 0.0000
Ca: 0.0000 0.5000 0.0000

***

> What is the energy of formation in the first record?

639 meV/atom

***

> Which of these has the highest mass density?

CaHfAlCr2